Record 1
# Ba2SiBr (PBE, relaxed)
data_Ba2SiBr
_chemical_formula_sum 'Ba6 Si3 Br3'
_space_group_name_H-M_alt 'R 3 m'
_space_group_IT_number 160
_space_group_name_Hall 'R 3 -2"'
_cell_length_a 4.6117
_cell_length_b 4.6117
_cell_length_c 26.2243
_cell_angle_alpha 90.00
_cell_angle_beta 90.00
_cell_angle_gamma 120.00
loop_
_atom_site_label
_atom_site_fract_x
_atom_site_fract_y
_atom_site_fract_z
Ba1 0.0000 0.0000 0.0000
Ba2 0.0000 0.0000 0.1525
Si1 0.0000 0.0000 0.7430
Br1 0.0000 0.0000 0.5741
# Formation energy without anion corrections   -861 meV/atom
# E above lowest polymorph   76 meV/atom
# Final energy   -3.60 eV per atom
# Density of states at the Fermi level   4.659 states/eV per cell
# Total moment   0.25 μB/atom



Record 2
# Ti2NbN4 (PBE, relaxed)
data_Ti2NbN4
_chemical_formula_sum 'Ti8 Nb4 N16'
_space_group_name_H-M_alt 'C m c m'
_space_group_IT_number 63
_space_group_name_Hall '-C 2c 2'
_cell_length_a 2.917
_cell_length_b 9.803
_cell_length_c 10.003
_cell_angle_alpha 90.00
_cell_angle_beta 90.00
_cell_angle_gamma 90.00
loop_
_atom_site_label
_atom_site_fract_x
_atom_site_fract_y
_atom_site_fract_z
Ti1 0.000 0.128 0.072
Nb1 0.000 0.374 0.250
N1 0.000 0.031 0.250
N2 0.000 0.228 0.621
N3 0.000 0.500 0.000
# Formation energy without anion corrections   -1238 meV/atom
# Final energy   -9.69 eV per atom
# Density of states at the Fermi level   5.609 states/eV per cell
# Total moment   0.00 μB/atom



Record 3
# LiNp2PaTe4 (PBE, relaxed)
data_LiNp2PaTe4
_chemical_formula_sum 'Li1 Np2 Pa1 Te4'
_space_group_name_H-M_alt 'P 1 2/m 1'
_space_group_IT_number 10
_space_group_name_Hall '-P 2y'
_cell_length_a 7.425
_cell_length_b 4.286
_cell_length_c 7.739
_cell_angle_alpha 90.00
_cell_angle_beta 108.84
_cell_angle_gamma 90.00
loop_
_atom_site_label
_atom_site_fract_x
_atom_site_fract_y
_atom_site_fract_z
Li1 0.000 0.000 0.000
Np1 0.500 0.000 0.500
Np2 0.500 0.500 0.000
Pa1 0.000 0.500 0.500
Te1 0.237 0.500 0.240
Te2 0.244 0.000 0.757
# Formation energy without anion corrections   -675 meV/atom
# Final energy   -6.91 eV per atom
# Density of states at the Fermi level   26.014 states/eV per cell
# Total moment   0.15 μB/atom



Record 4
# NaCeInSn (PBE, relaxed)
data_NaCeInSn
_chemical_formula_sum 'Na1 Ce1 In1 Sn1'
_space_group_name_H-M_alt 'P m m m'
_space_group_IT_number 47
_space_group_name_Hall '-P 2 2'
_cell_length_a 4.494
_cell_length_b 4.785
_cell_length_c 5.055
_cell_angle_alpha 90.00
_cell_angle_beta 90.00
_cell_angle_gamma 90.00
loop_
_atom_site_label
_atom_site_fract_x
_atom_site_fract_y
_atom_site_fract_z
Na1 0.000 0.000 0.000
Ce1 0.000 0.500 0.500
In1 0.500 0.500 0.000
Sn1 0.500 0.000 0.500
# E above lowest polymorph   0 meV/atom
# Final energy   -3.83 eV per atom
# Formation enthalpy at 0 K   -0.33 eV/atom
# Density of states at the Fermi level   7.077 states/eV per cell
# Total moment   0.23 μB/atom